Computed, not measured: BaCrTc2 after structural relaxation at the PBE-GGA level of DFT.

Summary:
**ΔE to the lowest computed polymorph**: 0.62 eV per formula unit
**E_form**: 274 kJ/mol of formula units

Lattice parameters (Å, degrees): 3.106 3.465 7.758 90.00 90.04 90.00
Fractional coordinates of all 4 atoms:
Ba1 0.000 0.000 0.000
Cr1 0.499 0.500 0.636
Tc1 0.499 0.500 0.342
Tc2 0.998 0.000 0.514

***

Computed, not measured: SrDy2Ga4 after structural relaxation at the PBE-GGA level of DFT.

Summary:
**E_form**: -363 kJ/mol of formula units

Lattice parameters (Å, degrees): 9.779 9.779 9.779 155.36 153.66 36.38
Fractional coordinates of all 7 atoms:
Sr1 0.000 0.000 0.000
Dy1 0.186 0.686 0.500
Dy2 0.814 0.314 0.500
Ga1 0.348 0.848 0.500
Ga2 0.431 0.431 0.000
Ga3 0.569 0.569 0.000
Ga4 0.652 0.152 0.500

***

Computed, not measured: Ca2Pr6Dy after structural relaxation at the PBE-GGA level of DFT.

Summary:
**E_form**: 235 kJ/mol of formula units

Lattice parameters (Å, degrees): 8.308 8.308 5.587 90.00 90.00 116.50
Fractional coordinates of all 9 atoms:
Ca1 0.213 0.787 0.000
Ca2 0.787 0.213 0.000
Pr1 0.182 0.449 0.500
Pr2 0.271 0.271 0.000
Pr3 0.449 0.182 0.500
Pr4 0.551 0.818 0.500
Pr5 0.729 0.729 0.000
Pr6 0.818 0.551 0.500
Dy1 0.000 0.000 0.500

***

Computed, not measured: YGa2NiPt4 after structural relaxation at the PBE-GGA level of DFT.

Summary:
**E_form**: -530 kJ/mol of formula units

Lattice parameters (Å, degrees): 8.660 8.660 8.660 28.89 28.89 28.89
Fractional coordinates of all 8 atoms:
Y1 0.000 0.000 0.000
Ga1 0.241 0.241 0.241
Ga2 0.759 0.759 0.759
Ni1 0.500 0.500 0.500
Pt1 0.131 0.131 0.131
Pt2 0.399 0.399 0.399
Pt3 0.601 0.601 0.601
Pt4 0.869 0.869 0.869

***

Computed, not measured: OsBr4Cl after structural relaxation at the PBE-GGA level of DFT.

Summary:
**ΔE to the lowest computed polymorph**: 0.00 eV per formula unit

Lattice parameters (Å, degrees): 3.777 21.668 5.935 90.00 128.37 90.00
Fractional coordinates of all 12 atoms:
Os1 0.000 0.000 0.000
Os2 0.000 0.500 0.500
Br1 0.016 0.250 0.001
Br2 0.016 0.250 0.501
Br3 0.500 0.078 0.000
Br4 0.500 0.422 0.500
Br5 0.500 0.578 0.500
Br6 0.500 0.922 0.000
Br7 0.984 0.750 0.499
Br8 0.984 0.750 0.999
Cl1 0.500 0.000 0.500
Cl2 0.500 0.500 0.000

***

Computed, not measured: NpPa2Tl3Te6 after structural relaxation at the PBE-GGA level of DFT.

Summary:
**Total energy**: -65.029 eV for the cell shown

Lattice parameters (Å, degrees): 7.523 7.523 8.864 98.13 98.13 119.99
Fractional coordinates of all 12 atoms:
Np1 0.000 0.000 0.000
Pa1 0.333 0.667 0.000
Pa2 0.667 0.333 0.000
Tl1 0.164 0.836 0.500
Tl2 0.500 0.500 0.500
Tl3 0.836 0.164 0.500
Te1 0.073 0.410 0.220
Te2 0.265 0.265 0.782
Te3 0.410 0.073 0.220
Te4 0.590 0.927 0.780
Te5 0.735 0.735 0.218
Te6 0.927 0.590 0.780

***

Computed, not measured: La2O3 after structural relaxation at the PBE-GGA level of DFT.

Summary:
**Total energy**: -40.856 eV for the cell shown

Lattice parameters (Å, degrees): 6.365 6.365 3.285 90.00 90.00 120.00
Fractional coordinates of all 5 atoms:
La1 0.333 0.667 0.000
La2 0.667 0.333 0.000
O1 0.000 0.500 0.500
O2 0.500 0.000 0.500
O3 0.500 0.500 0.500

***

Computed, not measured: KPbO2 after structural relaxation at the PBE-GGA level of DFT.

Summary:
**Total energy**: -78.561 eV for the cell shown

Lattice parameters (Å, degrees): 6.585 7.126 7.623 117.59 93.64 104.86
Fractional coordinates of all 16 atoms:
K1 0.017 0.243 0.243
K2 0.469 0.748 0.495
K3 0.531 0.252 0.505
K4 0.983 0.757 0.757
Pb1 0.068 0.271 0.759
Pb2 0.492 0.761 0.000
Pb3 0.508 0.239 0.000
Pb4 0.932 0.729 0.241
O1 0.277 0.529 0.699
O2 0.287 0.477 0.069
O3 0.290 0.068 0.706
O4 0.313 0.011 0.099
O5 0.687 0.989 0.901
O6 0.710 0.932 0.294
O7 0.713 0.523 0.931
O8 0.723 0.471 0.301

***

Computed, not measured: Na7I2ClO2 after structural relaxation at the PBE-GGA level of DFT.

Summary:
**Total energy**: -40.172 eV for the cell shown

Lattice parameters (Å, degrees): 13.084 13.084 13.084 159.61 159.61 28.99
Fractional coordinates of all 12 atoms:
Na1 0.000 0.000 0.000
Na2 0.088 0.588 0.500
Na3 0.180 0.180 0.000
Na4 0.412 0.912 0.500
Na5 0.588 0.088 0.500
Na6 0.820 0.820 0.000
Na7 0.912 0.412 0.500
I1 0.313 0.313 0.000
I2 0.687 0.687 0.000
Cl1 0.500 0.500 0.000
O1 0.089 0.089 0.000
O2 0.911 0.911 0.000

***

Computed, not measured: Dy2Ho2Pu after structural relaxation at the PBE-GGA level of DFT.

Summary:
**E_form**: 50 kJ/mol of formula units

Lattice parameters (Å, degrees): 8.869 8.869 8.869 135.71 60.43 141.05
Fractional coordinates of all 10 atoms:
Dy1 0.189 0.155 0.344
Dy2 0.311 0.655 0.965
Dy3 0.689 0.345 0.035
Dy4 0.811 0.845 0.656
Ho1 0.088 0.632 0.719
Ho2 0.412 0.132 0.544
Ho3 0.588 0.868 0.456
Ho4 0.912 0.368 0.281
Pu1 0.250 0.250 0.000
Pu2 0.750 0.750 0.000

***

Computed, not measured: Th2CdOs after structural relaxation at the PBE-GGA level of DFT.

Summary:
**ΔE to the lowest computed polymorph**: 0.93 eV per formula unit
**E_form**: 9 kJ/mol of formula units

Lattice parameters (Å, degrees): 10.046 10.046 10.046 24.00 24.00 24.00
Fractional coordinates of all 4 atoms:
Th1 0.117 0.117 0.117
Th2 0.883 0.883 0.883
Cd1 0.000 0.000 0.000
Os1 0.500 0.500 0.500

***

Computed, not measured: Be2CuRh after structural relaxation at the PBE-GGA level of DFT.

Summary:
**E_form**: 24 kJ/mol of formula units

Lattice parameters (Å, degrees): 7.839 7.839 7.839 19.18 19.18 19.18
Fractional coordinates of all 4 atoms:
Be1 0.000 0.000 0.000
Be2 0.253 0.253 0.253
Cu1 0.508 0.508 0.508
Rh1 0.744 0.744 0.744

***

Table of volume (Å³/cell), in record order: 83.5 172.8 345.2 134.0 380.9 416.8 115.3 299.4 271.7 303.1 147.4 45.5